No. 1
First-principles (PBE) data for crystalline CaY3Cu at its relaxed geometry, as listed in the Alexandria database.

```
data_CaY3Cu
_chemical_formula_sum 'Ca1 Y3 Cu1'
_symmetry_space_group_name_H-M 'P 1'
_symmetry_Int_Tables_number 1
_cell_length_a 5.5100
_cell_length_b 5.5100
_cell_length_c 5.5100
_cell_angle_alpha 90.00
_cell_angle_beta 90.00
_cell_angle_gamma 90.00
loop_
_symmetry_equiv_pos_as_xyz
'x,y,z'
loop_
_atom_site_label
_atom_site_type_symbol
_atom_site_fract_x
_atom_site_fract_y
_atom_site_fract_z
_atom_site_occupancy
Ca1 Ca 0.0000 0.0000 0.0000 1
Y1 Y 0.0000 0.0000 0.5000 1
Y2 Y 0.0000 0.5000 0.0000 1
Y3 Y 0.5000 0.0000 0.0000 1
Cu1 Cu 0.5000 0.5000 0.5000 1
```

Summary:
- Relative energy among the computed polymorphs: 26.85 kcal/mol of atoms
- Symmetry: No. 221
- Magnetic moment: 0.000 μB per atom

No. 2
First-principles (PBE) data for crystalline CaY2Cu3 at its relaxed geometry, as listed in the Alexandria database.

```
data_CaY2Cu3
_chemical_formula_sum 'Ca1 Y2 Cu3'
_symmetry_space_group_name_H-M 'P 1'
_symmetry_Int_Tables_number 1
_cell_length_a 3.4958
_cell_length_b 3.4958
_cell_length_c 10.6229
_cell_angle_alpha 90.00
_cell_angle_beta 90.00
_cell_angle_gamma 90.00
loop_
_symmetry_equiv_pos_as_xyz
'x,y,z'
loop_
_atom_site_label
_atom_site_type_symbol
_atom_site_fract_x
_atom_site_fract_y
_atom_site_fract_z
_atom_site_occupancy
Ca1 Ca 0.0000 0.0000 0.0000 1
Y1 Y 0.0000 0.0000 0.3345 1
Y2 Y 0.0000 0.0000 0.6655 1
Cu1 Cu 0.5000 0.5000 0.1847 1
Cu2 Cu 0.5000 0.5000 0.5000 1
Cu3 Cu 0.5000 0.5000 0.8153 1
```

Summary:
- Symmetry: No. 123
- Magnetic moment: 0.000 μB per atom

No. 3
First-principles (PBE) data for crystalline CaYCu at its relaxed geometry, as listed in the Alexandria database.

```
data_CaYCu
_chemical_formula_sum 'Ca1 Y1 Cu1'
_symmetry_space_group_name_H-M 'P 1'
_symmetry_Int_Tables_number 1
_cell_length_a 3.9450
_cell_length_b 3.9450
_cell_length_c 6.7303
_cell_angle_alpha 90.00
_cell_angle_beta 90.00
_cell_angle_gamma 120.00
loop_
_symmetry_equiv_pos_as_xyz
'x,y,z'
loop_
_atom_site_label
_atom_site_type_symbol
_atom_site_fract_x
_atom_site_fract_y
_atom_site_fract_z
_atom_site_occupancy
Ca1 Ca 0.0000 0.0000 0.0000 1
Y1 Y 0.3333 0.6667 0.5152 1
Cu1 Cu 0.6667 0.3333 0.2772 1
```

Summary:
- Relative energy among the computed polymorphs: 3.22 kcal/mol of atoms
- Symmetry: No. 156
- Magnetic moment: 0.000 μB per atom

No. 4
First-principles (PBE) data for crystalline CaY2Cu2 at its relaxed geometry, as listed in the Alexandria database.

```
data_CaY2Cu2
_chemical_formula_sum 'Ca2 Y4 Cu4'
_symmetry_space_group_name_H-M 'P 1'
_symmetry_Int_Tables_number 1
_cell_length_a 8.4339
_cell_length_b 8.4339
_cell_length_c 3.3063
_cell_angle_alpha 90.00
_cell_angle_beta 90.00
_cell_angle_gamma 90.00
loop_
_symmetry_equiv_pos_as_xyz
'x,y,z'
loop_
_atom_site_label
_atom_site_type_symbol
_atom_site_fract_x
_atom_site_fract_y
_atom_site_fract_z
_atom_site_occupancy
Ca1 Ca 0.0000 0.0000 0.0000 1
Ca2 Ca 0.5000 0.5000 0.0000 1
Y1 Y 0.1385 0.3615 0.0000 1
Y2 Y 0.3615 0.8615 0.0000 1
Y3 Y 0.6385 0.1385 0.0000 1
Y4 Y 0.8615 0.6385 0.0000 1
Cu1 Cu 0.1551 0.6551 0.5000 1
Cu2 Cu 0.3449 0.1551 0.5000 1
Cu3 Cu 0.6551 0.8449 0.5000 1
Cu4 Cu 0.8449 0.3449 0.5000 1
```

Summary:
- Relative energy among the computed polymorphs: 2.21 kcal/mol of atoms
- Symmetry: No. 127
- Magnetic moment: 0.000 μB per atom

Number 1: energy relative to the elements 1.2601 eV per atom. Number 2: energy relative to the elements -0.1898 eV per atom. Number 3: energy relative to the elements 0.0598 eV per atom. Number 4: energy relative to the elements -0.0311 eV per atom.